(1)
{"formula": "Tl2VPdSe", "functional": "PBE", "state": "optimized geometry", "cell": [[5.4177, 0.0000, 0.0000], [0.0000, 5.4177, 0.0000], [0.0000, 0.0000, 4.6770]], "species": ["Tl", "Tl", "V", "Pd", "Se"], "frac_coords": [[0.0000, 0.5000, 0.0000], [0.5000, 0.0000, 0.0000], [0.0000, 0.0000, 0.0000], [0.0000, 0.0000, 0.5000], [0.5000, 0.5000, 0.5000]], "spacegroup": "P4/mmm, No. 123", "m_tot_mub_per_atom": 0.63, "formation_energy_uncorrected_ev_per_atom": 0.6201}

(2)
{"formula": "Tl2V2PdSe6", "functional": "PBE", "state": "optimized geometry", "cell": [[3.1702, -5.6329, 0.0000], [3.1702, 5.6329, 0.0000], [-2.4067, 0.0000, 7.6355]], "species": ["Tl", "Tl", "V", "V", "Pd", "Se", "Se", "Se", "Se", "Se", "Se"], "frac_coords": [[0.1590, 0.8410, 0.0000], [0.8410, 0.1590, 0.0000], [0.3149, 0.6851, 0.5000], [0.6851, 0.3149, 0.5000], [0.0000, 0.0000, 0.5000], [0.0828, 0.4109, 0.6919], [0.2771, 0.2771, 0.3286], [0.4109, 0.0828, 0.6919], [0.5891, 0.9172, 0.3081], [0.7229, 0.7229, 0.6714], [0.9172, 0.5891, 0.3081]], "spacegroup": "C2/m, No. 12", "m_tot_mub_per_atom": 0.29, "formation_energy_uncorrected_ev_per_atom": -0.4794}

(3)
{"formula": "YTlPd2Se", "functional": "PBE", "state": "optimized geometry", "cell": [[4.8033, 0.0000, 0.0000], [0.0000, 4.8033, 0.0000], [0.0000, 0.0000, 5.3182]], "species": ["Y", "Tl", "Pd", "Pd", "Se"], "frac_coords": [[0.0000, 0.0000, 0.0000], [0.5000, 0.5000, 0.0000], [0.0000, 0.5000, 0.5000], [0.5000, 0.0000, 0.5000], [0.0000, 0.0000, 0.5000]], "spacegroup": "P4/mmm, No. 123", "m_tot_mub_per_atom": 0.00, "formation_energy_uncorrected_ev_per_atom": -0.3609}

(4)
{"formula": "Zr2Tl3PdSe6", "functional": "PBE", "state": "optimized geometry", "cell": [[3.3884, -5.8684, 0.0000], [3.3884, 5.8684, 0.0000], [-2.1520, 0.0000, 7.8514]], "species": ["Zr", "Zr", "Tl", "Tl", "Tl", "Pd", "Se", "Se", "Se", "Se", "Se", "Se"], "frac_coords": [[0.1681, 0.8319, 0.0000], [0.8319, 0.1681, 0.0000], [0.0000, 0.0000, 0.5000], [0.3340, 0.6660, 0.5000], [0.6660, 0.3340, 0.5000], [0.5000, 0.5000, 0.0000], [0.0971, 0.4336, 0.8016], [0.2328, 0.2328, 0.1900], [0.4336, 0.0971, 0.8016], [0.5664, 0.9029, 0.1984], [0.7672, 0.7672, 0.8100], [0.9029, 0.5664, 0.1984]], "spacegroup": "C2/m, No. 12", "m_tot_mub_per_atom": 0.00, "formation_energy_uncorrected_ev_per_atom": -0.7827}

(5)
{"formula": "TmPdSe2", "functional": "PBE", "state": "optimized geometry", "cell": [[1.8926, 1.0927, 8.2254], [-1.8926, 1.0927, 8.2254], [0.0000, -2.1854, 8.2254]], "species": ["Tm", "Pd", "Se", "Se"], "frac_coords": [[0.0000, 0.0000, 0.0000], [0.5000, 0.5000, 0.5000], [0.1116, 0.1116, 0.1116], [0.8884, 0.8884, 0.8884]], "spacegroup": "R-3m, No. 166", "polymorph_energy_mev_per_atom": 586.2, "m_tot_mub_per_atom": 0.00, "formation_energy_uncorrected_ev_per_atom": -0.3666}

(6)
{"formula": "Tm7PdSe5", "functional": "PBE", "state": "optimized geometry", "cell": [[1.9587, -6.5856, 0.0000], [1.9587, 6.5856, 0.0000], [0.0000, 0.0000, 24.1256]], "species": ["Tm", "Tm", "Tm", "Tm", "Tm", "Tm", "Tm", "Tm", "Tm", "Tm", "Tm", "Tm", "Tm", "Tm", "Pd", "Pd", "Se", "Se", "Se", "Se", "Se", "Se", "Se", "Se", "Se", "Se"], "frac_coords": [[0.0395, 0.9605, 0.7500], [0.1388, 0.8612, 0.0384], [0.1388, 0.8612, 0.4616], [0.2985, 0.7015, 0.6807], [0.2985, 0.7015, 0.8193], [0.4083, 0.5917, 0.1194], [0.4083, 0.5917, 0.3806], [0.5917, 0.4083, 0.6194], [0.5917, 0.4083, 0.8806], [0.7015, 0.2985, 0.1807], [0.7015, 0.2985, 0.3193], [0.8612, 0.1388, 0.5384], [0.8612, 0.1388, 0.9616], [0.9605, 0.0395, 0.2500], [0.3047, 0.6953, 0.2500], [0.6953, 0.3047, 0.7500], [0.0556, 0.9444, 0.1434], [0.0556, 0.9444, 0.3566], [0.2204, 0.7796, 0.5706], [0.2204, 0.7796, 0.9294], [0.5000, 0.5000, 0.0000], [0.5000, 0.5000, 0.5000], [0.7796, 0.2204, 0.0706], [0.7796, 0.2204, 0.4294], [0.9444, 0.0556, 0.6434], [0.9444, 0.0556, 0.8566]], "spacegroup": "Cmcm, No. 63", "m_tot_mub_per_atom": 0.00, "formation_energy_uncorrected_ev_per_atom": -1.4417}

(7)
{"formula": "Tm3PdSe2", "functional": "PBE", "state": "optimized geometry", "cell": [[0.0000, 5.7355, 11.9291], [4.1501, 0.0000, 11.9291], [4.1501, 5.7355, 0.0000]], "species": ["Tm", "Tm", "Tm", "Tm", "Tm", "Tm", "Tm", "Tm", "Tm", "Tm", "Tm", "Tm", "Pd", "Pd", "Pd", "Pd", "Se", "Se", "Se", "Se", "Se", "Se", "Se", "Se"], "frac_coords": [[0.0371, 0.5400, 0.1970], [0.1147, 0.6353, 0.6353], [0.1970, 0.7259, 0.0371], [0.2741, 0.8030, 0.4600], [0.3647, 0.8853, 0.8853], [0.4600, 0.9629, 0.2741], [0.5400, 0.0371, 0.7259], [0.6353, 0.1147, 0.1147], [0.7259, 0.1970, 0.5400], [0.8030, 0.2741, 0.9629], [0.8853, 0.3647, 0.3647], [0.9629, 0.4600, 0.8030], [0.0421, 0.0421, 0.2079], [0.2079, 0.2079, 0.0421], [0.7921, 0.7921, 0.9579], [0.9579, 0.9579, 0.7921], [0.1277, 0.1277, 0.6223], [0.2945, 0.2945, 0.4555], [0.3777, 0.3777, 0.8723], [0.4555, 0.4555, 0.2945], [0.5445, 0.5445, 0.7055], [0.6223, 0.6223, 0.1277], [0.7055, 0.7055, 0.5445], [0.8723, 0.8723, 0.3777]], "spacegroup": "Fddd, No. 70", "m_tot_mub_per_atom": 0.00, "formation_energy_uncorrected_ev_per_atom": -1.3936}

(8)
{"formula": "TmPdSe", "functional": "PBE", "state": "optimized geometry", "cell": [[3.7080, -2.1383, 0.0000], [3.7080, 2.1383, 0.0000], [-2.6244, 0.0000, 10.4487]], "species": ["Tm", "Tm", "Pd", "Pd", "Se", "Se"], "frac_coords": [[0.0919, 0.0919, 0.2890], [0.9081, 0.9081, 0.7110], [0.1879, 0.1879, 0.5603], [0.8121, 0.8121, 0.4397], [0.2821, 0.2821, 0.8264], [0.7179, 0.7179, 0.1736]], "spacegroup": "C2/m, No. 12", "m_tot_mub_per_atom": 0.00, "formation_energy_uncorrected_ev_per_atom": -1.1189}

(9)
{"formula": "Tm5PdSe4", "functional": "PBE", "state": "optimized geometry", "cell": [[6.8222, -1.9765, 0.0000], [6.8222, 1.9765, 0.0000], [-5.0500, 0.0000, 8.6837]], "species": ["Tm", "Tm", "Tm", "Tm", "Tm", "Pd", "Se", "Se", "Se", "Se"], "frac_coords": [[0.0000, 0.0000, 0.0000], [0.1944, 0.1944, 0.7910], [0.4078, 0.4078, 0.5955], [0.5922, 0.5922, 0.4045], [0.8056, 0.8056, 0.2090], [0.0000, 0.0000, 0.5000], [0.1957, 0.1957, 0.2988], [0.3948, 0.3948, 0.0890], [0.6052, 0.6052, 0.9110], [0.8043, 0.8043, 0.7012]], "spacegroup": "C2/m, No. 12", "m_tot_mub_per_atom": 0.00, "formation_energy_uncorrected_ev_per_atom": -1.5229}

(10)
{"formula": "Tm6PdSe5", "functional": "PBE", "state": "optimized geometry", "cell": [[3.5045, -6.0827, 0.0000], [3.5045, 6.0827, 0.0000], [-2.3675, 0.0000, 6.5696]], "species": ["Tm", "Tm", "Tm", "Tm", "Tm", "Tm", "Pd", "Se", "Se", "Se", "Se", "Se"], "frac_coords": [[0.0772, 0.4004, 0.2388], [0.2404, 0.2404, 0.7539], [0.4004, 0.0772, 0.2388], [0.5996, 0.9228, 0.7612], [0.7596, 0.7596, 0.2461], [0.9228, 0.5996, 0.7612], [0.0000, 0.0000, 0.0000], [0.1753, 0.8247, 0.5000], [0.3354, 0.6646, 0.0000], [0.5000, 0.5000, 0.5000], [0.6646, 0.3354, 0.0000], [0.8247, 0.1753, 0.5000]], "spacegroup": "C2/m, No. 12", "m_tot_mub_per_atom": 0.00, "formation_energy_uncorrected_ev_per_atom": -1.5564}

(11)
{"formula": "TmPdSe2", "functional": "PBE", "state": "optimized geometry", "cell": [[1.9878, 1.1477, 6.3882], [-1.9878, 1.1477, 6.3882], [0.0000, -2.2953, 6.3882]], "species": ["Tm", "Pd", "Se", "Se"], "frac_coords": [[0.0000, 0.0000, 0.0000], [0.1689, 0.1689, 0.1689], [0.5788, 0.5788, 0.5788], [0.7549, 0.7549, 0.7549]], "spacegroup": "R3m, No. 160", "polymorph_energy_mev_per_atom": 0.0, "m_tot_mub_per_atom": 0.00, "formation_energy_uncorrected_ev_per_atom": -0.9527}